Below is an optimized crystal structure of La6Cd5Sn, with properties calculated at the PBE level.

Structure (POSCAR):
```
La6Cd5Sn
1.0
2.778 -8.367 0.000
2.778 8.367 0.000
0.000 0.000 7.885
La Cd Sn
6 5 1
direct
0.000 0.000 0.243
0.000 0.000 0.757
0.336 0.664 0.250
0.336 0.664 0.750
0.664 0.336 0.250
0.664 0.336 0.750
0.167 0.833 0.500
0.175 0.825 0.000
0.500 0.500 0.500
0.825 0.175 0.000
0.833 0.167 0.500
0.500 0.500 0.000
```

Calculated values
- SG: Cmmm (65)
- Uncorrected energy: -3.59 eV per atom
- Volume: 30.546 A^3/atom

Below is an optimized crystal structure of Be5Te3, with properties calculated at the PBE level.

Structure (POSCAR):
```
Be5Te3
1.0
3.642 0.000 0.000
0.000 3.642 0.000
0.000 0.000 12.129
Be Te
5 3
direct
0.000 0.000 0.000
0.000 0.000 0.176
0.000 0.000 0.824
0.500 0.500 0.413
0.500 0.500 0.587
0.000 0.000 0.500
0.500 0.500 0.218
0.500 0.500 0.782
```

Calculated values
- SG: P4/mmm (123)
- Uncorrected energy: -2.99 eV per atom
- Volume: 20.106 A^3/atom
- Raw formation energy: 0.520 eV/atom

Below is an optimized crystal structure of PaTeAs, with properties calculated at the PBE level.

Structure (POSCAR):
```
PaTeAs
1.0
-1.922 1.922 4.927
1.922 -1.922 4.927
1.922 1.922 -4.927
Pa Te As
1 1 1
direct
0.000 0.000 0.000
0.331 0.331 0.000
0.633 0.633 0.000
```

Calculated values
- SG: I4mm (107)
- Uncorrected energy: -6.54 eV per atom
- Volume: 24.256 A^3/atom
- Raw formation energy: -0.780 eV/atom

Q: Which of these has the lowest volume?
A: Be5Te3

Q: Among the records above, which one has the highest volume?
A: La6Cd5Sn

Q: uncorrected energy of number 1 (La6Cd5Sn)?
A: -3.59 eV per atom

Q: The highest uncorrected energy belongs to which entry?
A: Be5Te3